# Sc3Cu2 | Alexandria | PBE-GGA | optimized geometry
# Energy relative to the lowest polymorph listed for this composition ... 264.7 meV per atom
# VASP energy ... -5.381 eV/atom
# D(E_F) ... 7.1 states/eV/cell
# Calculated formation energy ... 0.0569 eV/atom
# Magnetization ... 0.2 μB per formula unit
data_Sc3Cu2
_chemical_formula_sum 'Sc3 Cu2'
_symmetry_space_group_name_H-M 'P 1'
_symmetry_Int_Tables_number 1
_symmetry_space_group_name_Hall 'P 1'
_cell_length_a 10.6590
_cell_length_b 10.6590
_cell_length_c 10.6590
_cell_angle_alpha 18.05
_cell_angle_beta 18.05
_cell_angle_gamma 18.05
loop_
_atom_site_label
_atom_site_type_symbol
_atom_site_fract_x
_atom_site_fract_y
_atom_site_fract_z
Cu1 Cu 0.6049 0.6049 0.6049
Sc1 Sc 0.2103 0.2103 0.2103
Sc2 Sc 0.0000 0.0000 0.0000
Sc3 Sc 0.7897 0.7897 0.7897
Cu2 Cu 0.3951 0.3951 0.3951

---

# Sc2Cu | Alexandria | PBE-GGA | optimized geometry
# VASP energy ... -5.746 eV/atom
# D(E_F) ... 6.1 states/eV/cell
# Calculated formation energy ... -0.1596 eV/atom
# Magnetization ... 0.0 μB per formula unit
data_Sc2Cu
_chemical_formula_sum 'Sc4 Cu2'
_symmetry_space_group_name_H-M 'P 1'
_symmetry_Int_Tables_number 1
_symmetry_space_group_name_Hall 'P 1'
_cell_length_a 3.2911
_cell_length_b 7.6669
_cell_length_c 4.7822
_cell_angle_alpha 90.00
_cell_angle_beta 90.00
_cell_angle_gamma 77.61
loop_
_atom_site_label
_atom_site_type_symbol
_atom_site_fract_x
_atom_site_fract_y
_atom_site_fract_z
Sc1 Sc 0.2800 0.4400 0.2500
Sc2 Sc 0.4205 0.1591 0.7500
Cu1 Cu 0.0728 0.8544 0.7500
Cu2 Cu 0.9272 0.1456 0.2500
Sc3 Sc 0.7200 0.5600 0.7500
Sc4 Sc 0.5795 0.8409 0.2500

---

# Sc3Cu2 | Alexandria | PBE-GGA | optimized geometry
# Energy relative to the lowest polymorph listed for this composition ... 65.1 meV per atom
# VASP energy ... -5.580 eV/atom
# D(E_F) ... 4.5 states/eV/cell
# Calculated formation energy ... -0.1427 eV/atom
# Magnetization ... 0.0 μB per formula unit
data_Sc3Cu2
_chemical_formula_sum 'Sc3 Cu2'
_symmetry_space_group_name_H-M 'P 1'
_symmetry_Int_Tables_number 1
_symmetry_space_group_name_Hall 'P 1'
_cell_length_a 4.4034
_cell_length_b 5.2285
_cell_length_c 5.2285
_cell_angle_alpha 67.49
_cell_angle_beta 65.10
_cell_angle_gamma 65.10
loop_
_atom_site_label
_atom_site_type_symbol
_atom_site_fract_x
_atom_site_fract_y
_atom_site_fract_z
Sc1 Sc 0.7966 0.7034 0.7034
Cu1 Cu 0.5000 0.2914 0.7086
Sc2 Sc 0.0000 0.0000 0.0000
Sc3 Sc 0.2034 0.2966 0.2966
Cu2 Cu 0.5000 0.7086 0.2914

---

# Sc5Cu2 | Alexandria | PBE-GGA | optimized geometry
# Energy relative to the lowest polymorph listed for this composition ... 0.0 meV per atom
# VASP energy ... -5.827 eV/atom
# D(E_F) ... 17.8 states/eV/cell
# Calculated formation energy ... -0.1346 eV/atom
# Magnetization ... 0.0 μB per formula unit
data_Sc5Cu2
_chemical_formula_sum 'Sc10 Cu4'
_symmetry_space_group_name_H-M 'P 1'
_symmetry_Int_Tables_number 1
_symmetry_space_group_name_Hall 'P 1'
_cell_length_a 6.3581
_cell_length_b 6.1754
_cell_length_c 8.0267
_cell_angle_alpha 91.98
_cell_angle_beta 113.33
_cell_angle_gamma 90.00
loop_
_atom_site_label
_atom_site_type_symbol
_atom_site_fract_x
_atom_site_fract_y
_atom_site_fract_z
Sc1 Sc 0.9592 0.9841 0.1885
Sc2 Sc 0.0408 0.0159 0.8115
Sc3 Sc 0.4865 0.7500 0.0000
Cu1 Cu 0.1516 0.4780 0.7769
Sc4 Sc 0.2425 0.7262 0.5527
Sc5 Sc 0.7707 0.5159 0.8115
Sc6 Sc 0.7575 0.2738 0.4473
Sc7 Sc 0.2293 0.4841 0.1885
Sc8 Sc 0.5135 0.2500 0.0000
Sc9 Sc 0.6898 0.7738 0.4473
Cu2 Cu 0.6253 0.9780 0.7769
Cu3 Cu 0.3747 0.0220 0.2231
Cu4 Cu 0.8484 0.5220 0.2231
Sc10 Sc 0.3102 0.2262 0.5527

---

# Sc2Cu17 | Alexandria | PBE-GGA | optimized geometry
# VASP energy ... -4.402 eV/atom
# D(E_F) ... 9.7 states/eV/cell
# Calculated formation energy ... -0.0703 eV/atom
# Magnetization ... 0.0 μB per formula unit
data_Sc2Cu17
_chemical_formula_sum 'Sc2 Cu17'
_symmetry_space_group_name_H-M 'P 1'
_symmetry_Int_Tables_number 1
_symmetry_space_group_name_Hall 'P 1'
_cell_length_a 6.3849
_cell_length_b 6.3849
_cell_length_c 6.3849
_cell_angle_alpha 82.37
_cell_angle_beta 82.37
_cell_angle_gamma 82.37
loop_
_atom_site_label
_atom_site_type_symbol
_atom_site_fract_x
_atom_site_fract_y
_atom_site_fract_z
Cu1 Cu 0.3483 0.3483 0.8435
Cu2 Cu 0.6517 0.6517 0.1565
Cu3 Cu 0.6979 0.0000 0.3021
Cu4 Cu 0.0994 0.0994 0.0994
Cu5 Cu 0.6517 0.1565 0.6517
Cu6 Cu 0.0000 0.5000 0.0000
Cu7 Cu 0.8435 0.3483 0.3483
Cu8 Cu 0.5000 0.0000 0.0000
Cu9 Cu 0.3483 0.8435 0.3483
Cu10 Cu 0.1565 0.6517 0.6517
Cu11 Cu 0.3021 0.0000 0.6979
Cu12 Cu 0.0000 0.3021 0.6979
Sc1 Sc 0.6579 0.6579 0.6579
Cu13 Cu 0.0000 0.0000 0.5000
Cu14 Cu 0.0000 0.6979 0.3021
Cu15 Cu 0.6979 0.3021 0.0000
Cu16 Cu 0.3021 0.6979 0.0000
Sc2 Sc 0.3421 0.3421 0.3421
Cu17 Cu 0.9006 0.9006 0.9006

---

# Sc4Cu3 | Alexandria | PBE-GGA | optimized geometry
# Energy relative to the lowest polymorph listed for this composition ... 0.0 meV per atom
# VASP energy ... -5.525 eV/atom
# D(E_F) ... 7.4 states/eV/cell
# Calculated formation energy ... -0.1511 eV/atom
# Magnetization ... 1.0 μB per formula unit
data_Sc4Cu3
_chemical_formula_sum 'Sc4 Cu3'
_symmetry_space_group_name_H-M 'P 1'
_symmetry_Int_Tables_number 1
_symmetry_space_group_name_Hall 'P 1'
_cell_length_a 3.2474
_cell_length_b 12.6730
_cell_length_c 3.2474
_cell_angle_alpha 82.64
_cell_angle_beta 90.00
_cell_angle_gamma 97.36
loop_
_atom_site_label
_atom_site_type_symbol
_atom_site_fract_x
_atom_site_fract_y
_atom_site_fract_z
Sc1 Sc 0.1632 0.3264 0.8368
Cu1 Cu 0.0000 0.0000 0.0000
Sc2 Sc 0.8368 0.6736 0.1632
Cu2 Cu 0.7258 0.4516 0.2742
Sc3 Sc 0.5659 0.1318 0.4341
Sc4 Sc 0.4341 0.8682 0.5659
Cu3 Cu 0.2742 0.5484 0.7258

---

# Sc4Cu3 | Alexandria | PBE-GGA | optimized geometry
# Energy relative to the lowest polymorph listed for this composition ... 88.4 meV per atom
# VASP energy ... -5.436 eV/atom
# D(E_F) ... 9.1 states/eV/cell
# Calculated formation energy ... -0.0627 eV/atom
# Magnetization ... 0.0 μB per formula unit
data_Sc4Cu3
_chemical_formula_sum 'Sc4 Cu3'
_symmetry_space_group_name_H-M 'P 1'
_symmetry_Int_Tables_number 1
_symmetry_space_group_name_Hall 'P 1'
_cell_length_a 5.1654
_cell_length_b 5.1654
_cell_length_c 5.5321
_cell_angle_alpha 90.00
_cell_angle_beta 90.00
_cell_angle_gamma 120.00
loop_
_atom_site_label
_atom_site_type_symbol
_atom_site_fract_x
_atom_site_fract_y
_atom_site_fract_z
Sc1 Sc 0.0000 0.0000 0.2475
Cu1 Cu 0.0000 0.5000 0.0000
Sc2 Sc 0.3333 0.6667 0.5000
Cu2 Cu 0.5000 0.0000 0.0000
Cu3 Cu 0.5000 0.5000 0.0000
Sc3 Sc 0.0000 0.0000 0.7525
Sc4 Sc 0.6667 0.3333 0.5000

---

# ScCu12 | Alexandria | PBE-GGA | optimized geometry
# Energy relative to the lowest polymorph listed for this composition ... 0.0 meV per atom
# VASP energy ... -4.312 eV/atom
# D(E_F) ... 5.7 states/eV/cell
# Calculated formation energy ... -0.0440 eV/atom
# Magnetization ... 0.0 μB per formula unit
data_ScCu12
_chemical_formula_sum 'Sc1 Cu12'
_symmetry_space_group_name_H-M 'P 1'
_symmetry_Int_Tables_number 1
_symmetry_space_group_name_Hall 'P 1'
_cell_length_a 4.8013
_cell_length_b 6.4021
_cell_length_c 6.4021
_cell_angle_alpha 81.92
_cell_angle_beta 67.98
_cell_angle_gamma 67.98
loop_
_atom_site_label
_atom_site_type_symbol
_atom_site_fract_x
_atom_site_fract_y
_atom_site_fract_z
Cu1 Cu 0.6476 0.3524 0.3524
Cu2 Cu 0.3524 0.6476 0.6476
Cu3 Cu 0.5000 0.0000 0.5000
Cu4 Cu 0.0000 0.5000 0.0000
Cu5 Cu 0.2841 0.2159 0.2159
Cu6 Cu 0.0000 0.0000 0.5000
Cu7 Cu 0.5000 0.2159 0.7841
Cu8 Cu 0.5000 0.7841 0.2159
Cu9 Cu 0.7159 0.7841 0.7841
Sc1 Sc 0.0000 0.0000 0.0000
Cu10 Cu 0.0000 0.3524 0.6476
Cu11 Cu 0.5000 0.5000 0.0000
Cu12 Cu 0.0000 0.6476 0.3524

---

# Sc3Cu8 | Alexandria | PBE-GGA | optimized geometry
# VASP energy ... -4.882 eV/atom
# D(E_F) ... 5.1 states/eV/cell
# Calculated formation energy ... -0.1763 eV/atom
# Magnetization ... 0.0 μB per formula unit
data_Sc3Cu8
_chemical_formula_sum 'Sc3 Cu8'
_symmetry_space_group_name_H-M 'P 1'
_symmetry_Int_Tables_number 1
_symmetry_space_group_name_Hall 'P 1'
_cell_length_a 3.7224
_cell_length_b 4.7172
_cell_length_c 10.3042
_cell_angle_alpha 103.95
_cell_angle_beta 90.00
_cell_angle_gamma 113.24
loop_
_atom_site_label
_atom_site_type_symbol
_atom_site_fract_x
_atom_site_fract_y
_atom_site_fract_z
Sc1 Sc 0.0000 0.0000 0.0000
Cu1 Cu 0.5529 0.1058 0.8242
Sc2 Sc 0.8937 0.7874 0.3552
Cu2 Cu 0.7280 0.4560 0.0921
Cu3 Cu 0.1634 0.3268 0.2681
Cu4 Cu 0.2720 0.5440 0.9079
Cu5 Cu 0.6345 0.2689 0.4549
Cu6 Cu 0.3655 0.7311 0.5451
Cu7 Cu 0.8366 0.6732 0.7319
Cu8 Cu 0.4471 0.8942 0.1758
Sc3 Sc 0.1063 0.2126 0.6448

---

# Sc3Cu2 | Alexandria | PBE-GGA | optimized geometry
# Energy relative to the lowest polymorph listed for this composition ... 0.0 meV per atom
# VASP energy ... -5.645 eV/atom
# D(E_F) ... 10.7 states/eV/cell
# Calculated formation energy ... -0.2078 eV/atom
# Magnetization ... 0.0 μB per formula unit
data_Sc3Cu2
_chemical_formula_sum 'Sc6 Cu4'
_symmetry_space_group_name_H-M 'P 1'
_symmetry_Int_Tables_number 1
_symmetry_space_group_name_Hall 'P 1'
_cell_length_a 3.2518
_cell_length_b 3.2518
_cell_length_c 17.7770
_cell_angle_alpha 90.00
_cell_angle_beta 90.00
_cell_angle_gamma 90.00
loop_
_atom_site_label
_atom_site_type_symbol
_atom_site_fract_x
_atom_site_fract_y
_atom_site_fract_z
Cu1 Cu 0.5000 0.5000 0.2230
Sc1 Sc 0.5000 0.5000 0.0000
Cu2 Cu 0.5000 0.5000 0.4089
Sc2 Sc 0.0000 0.0000 0.6850
Sc3 Sc 0.0000 0.0000 0.5000
Cu3 Cu 0.5000 0.5000 0.7770
Cu4 Cu 0.5000 0.5000 0.5911
Sc4 Sc 0.0000 0.0000 0.8684
Sc5 Sc 0.0000 0.0000 0.3150
Sc6 Sc 0.0000 0.0000 0.1316

---

# Sc5Cu3 | Alexandria | PBE-GGA | optimized geometry
# Energy relative to the lowest polymorph listed for this composition ... 0.0 meV per atom
# VASP energy ... -5.680 eV/atom
# D(E_F) ... 7.9 states/eV/cell
# Calculated formation energy ... -0.1866 eV/atom
# Magnetization ... 0.8 μB per formula unit
data_Sc5Cu3
_chemical_formula_sum 'Sc5 Cu3'
_symmetry_space_group_name_H-M 'P 1'
_symmetry_Int_Tables_number 1
_symmetry_space_group_name_Hall 'P 1'
_cell_length_a 3.2358
_cell_length_b 3.2358
_cell_length_c 14.7643
_cell_angle_alpha 90.00
_cell_angle_beta 90.00
_cell_angle_gamma 90.00
loop_
_atom_site_label
_atom_site_type_symbol
_atom_site_fract_x
_atom_site_fract_y
_atom_site_fract_z
Sc1 Sc 0.0000 0.0000 0.0000
Sc2 Sc 0.5000 0.5000 0.3892
Cu1 Cu 0.5000 0.5000 0.1107
Sc3 Sc 0.0000 0.0000 0.2220
Sc4 Sc 0.5000 0.5000 0.6108
Sc5 Sc 0.0000 0.0000 0.7780
Cu2 Cu 0.0000 0.0000 0.5000
Cu3 Cu 0.5000 0.5000 0.8893